(1)
Compound: BeInCo2
Source: OQMD via LeMat-Bulk
Functional: PBE
Structure: optimized geometry

abc: 4.112 4.112 4.112
angles: 60.00 60.00 60.00
Element x y z (fractional)
Be1 0.000 0.000 0.000
In1 0.250 0.250 0.250
Co1 0.500 0.500 0.500
Co2 0.750 0.750 0.750

## Properties
space group: F-43m
M_tot: 2.44 μB per formula unit
final energy: -4.940 eV/atom

=====

(2)
Compound: Fe2SnPb
Source: OQMD via LeMat-Bulk
Functional: PBE
Structure: optimized geometry

abc: 6.384 6.384 6.384
angles: 90.00 90.00 90.00
Element x y z (fractional)
Fe1 0.242 0.242 0.242
Fe2 0.242 0.242 0.758
Fe3 0.242 0.758 0.242
Fe4 0.242 0.758 0.758
Fe5 0.758 0.242 0.242
Fe6 0.758 0.242 0.758
Fe7 0.758 0.758 0.242
Fe8 0.758 0.758 0.758
Sn1 0.000 0.000 0.000
Sn2 0.000 0.000 0.500
Sn3 0.000 0.500 0.000
Sn4 0.500 0.000 0.000
Pb1 0.000 0.500 0.500
Pb2 0.500 0.000 0.500
Pb3 0.500 0.500 0.000
Pb4 0.500 0.500 0.500

## Properties
space group: Pm-3m
M_tot: 3.24 μB per formula unit
final energy: -5.527 eV/atom

=====

(3)
Compound: GdCd3Tc
Source: OQMD via LeMat-Bulk
Functional: PBE
Structure: optimized geometry

abc: 6.715 6.715 5.963
angles: 90.00 90.00 120.00
Element x y z (fractional)
Gd1 0.000 0.000 0.000
Gd2 0.000 0.000 0.500
Cd1 0.490 0.056 0.250
Cd2 0.490 0.434 0.750
Cd3 0.566 0.056 0.750
Cd4 0.566 0.510 0.250
Cd5 0.944 0.434 0.250
Cd6 0.944 0.510 0.750
Tc1 0.333 0.667 0.000
Tc2 0.333 0.667 0.500

## Properties
space group: P-6c2
M_tot: 0.00 μB per formula unit
final energy: -3.171 eV/atom

=====

(4)
Compound: TbErAu2
Source: OQMD via LeMat-Bulk
Functional: PBE
Structure: optimized geometry

abc: 4.646 5.770 5.770
angles: 37.48 90.00 90.00
Element x y z (fractional)
Tb1 0.000 0.000 0.000
Er1 0.500 0.721 0.721
Au1 0.000 0.271 0.271
Au2 0.500 0.449 0.449

## Properties
space group: Amm2
M_tot: 0.00 μB per formula unit
final energy: -4.820 eV/atom

=====

(5)
Compound: BaAg2GeSe4
Source: OQMD via LeMat-Bulk
Functional: PBE
Structure: optimized geometry

abc: 6.653 6.653 6.653
angles: 115.39 112.67 100.71
Element x y z (fractional)
Ba1 0.000 0.000 0.000
Ag1 0.294 0.794 0.500
Ag2 0.706 0.206 0.500
Ge1 0.500 0.500 0.000
Se1 0.148 0.530 0.003
Se2 0.472 0.470 0.617
Se3 0.528 0.145 0.997
Se4 0.852 0.855 0.383

## Properties
space group: I222
final energy: -3.988 eV/atom

=====

(6)
Compound: CsBaGeAu
Source: OQMD via LeMat-Bulk
Functional: PBE
Structure: optimized geometry

abc: 5.617 5.617 5.617
angles: 60.00 60.00 60.00
Element x y z (fractional)
Cs1 0.000 0.000 0.000
Ba1 0.250 0.250 0.250
Ge1 0.500 0.500 0.500
Au1 0.750 0.750 0.750

## Properties
space group: F-43m
final energy: -2.721 eV/atom

=====

(7)
Compound: SmCdCuS3
Source: OQMD via LeMat-Bulk
Functional: PBE
Structure: optimized geometry

abc: 6.461 6.461 10.555
angles: 90.00 90.00 145.50
Element x y z (fractional)
Sm1 0.000 0.000 0.000
Sm2 0.000 0.000 0.500
Cd1 0.237 0.763 0.750
Cd2 0.763 0.237 0.250
Cu1 0.478 0.522 0.250
Cu2 0.522 0.478 0.750
S1 0.095 0.905 0.250
S2 0.355 0.645 0.084
S3 0.355 0.645 0.416
S4 0.645 0.355 0.584
S5 0.645 0.355 0.916
S6 0.905 0.095 0.750

## Properties
space group: Cmcm
M_tot: 0.00 μB per formula unit
final energy: -4.614 eV/atom

=====

(8)
Compound: Sc2CuAu
Source: OQMD via LeMat-Bulk
Functional: PBE
Structure: optimized geometry

abc: 4.713 4.713 4.713
angles: 119.87 119.87 90.22
Element x y z (fractional)
Sc1 0.250 0.750 0.500
Sc2 0.750 0.250 0.500
Cu1 0.000 0.000 0.000
Au1 0.500 0.500 0.000

## Properties
space group: I4/mmm
M_tot: 0.00 μB per formula unit
final energy: -5.458 eV/atom

=====

(9)
Compound: PmTlPd
Source: OQMD via LeMat-Bulk
Functional: PBE
Structure: optimized geometry

abc: 4.827 4.827 4.827
angles: 60.00 60.00 60.00
Element x y z (fractional)
Pm1 0.000 0.000 0.000
Tl1 0.500 0.500 0.500
Pd1 0.250 0.250 0.250

## Properties
space group: F-43m
M_tot: 0.52 μB per formula unit
final energy: -4.614 eV/atom

=====

(10)
Compound: TaH6C2SeCl5
Source: OQMD via LeMat-Bulk
Functional: PBE
Structure: optimized geometry

abc: 7.418 7.418 11.183
angles: 90.00 90.00 112.00
Element x y z (fractional)
Ta1 0.208 0.792 0.500
Ta2 0.792 0.208 0.000
H1 0.146 0.276 0.639
H2 0.212 0.458 0.755
H3 0.276 0.146 0.139
H4 0.310 0.355 0.231
H5 0.355 0.310 0.731
H6 0.458 0.212 0.255
H7 0.542 0.788 0.755
H8 0.645 0.690 0.231
H9 0.690 0.645 0.731
H10 0.724 0.854 0.639
H11 0.788 0.542 0.255
H12 0.854 0.724 0.139
C1 0.266 0.382 0.689
C2 0.382 0.266 0.189
C3 0.618 0.734 0.689
C4 0.734 0.618 0.189
Se1 0.431 0.569 0.573
Se2 0.569 0.431 0.073
Cl1 0.027 0.973 0.444
Cl2 0.049 0.511 0.003
Cl3 0.173 0.827 0.706
Cl4 0.282 0.718 0.306
Cl5 0.489 0.951 0.003
Cl6 0.511 0.049 0.503
Cl7 0.718 0.282 0.806
Cl8 0.827 0.173 0.206
Cl9 0.951 0.489 0.503
Cl10 0.973 0.027 0.944

## Properties
space group: Cmc2_1
M_tot: 0.00 μB per formula unit
final energy: -4.865 eV/atom

=====

(11)
Compound: AsOs2Au
Source: OQMD via LeMat-Bulk
Functional: PBE
Structure: optimized geometry

abc: 4.483 4.483 4.483
angles: 60.00 60.00 60.00
Element x y z (fractional)
As1 0.000 0.000 0.000
Os1 0.500 0.500 0.500
Os2 0.750 0.750 0.750
Au1 0.250 0.250 0.250

## Properties
space group: F-43m
M_tot: 0.03 μB per formula unit
final energy: -6.750 eV/atom

=====

(12)
Compound: TaInCuNi
Source: OQMD via LeMat-Bulk
Functional: PBE
Structure: optimized geometry

abc: 4.443 4.443 4.443
angles: 60.00 60.00 60.00
Element x y z (fractional)
Ta1 0.000 0.000 0.000
In1 0.250 0.250 0.250
Cu1 0.750 0.750 0.750
Ni1 0.500 0.500 0.500

## Properties
space group: F-43m
M_tot: 0.13 μB per formula unit
final energy: -5.655 eV/atom

=====

Copy entry 11 word for word.
Compound: AsOs2Au
Source: OQMD via LeMat-Bulk
Functional: PBE
Structure: optimized geometry

abc: 4.483 4.483 4.483
angles: 60.00 60.00 60.00
Element x y z (fractional)
As1 0.000 0.000 0.000
Os1 0.500 0.500 0.500
Os2 0.750 0.750 0.750
Au1 0.250 0.250 0.250

## Properties
space group: F-43m
M_tot: 0.03 μB per formula unit
final energy: -6.750 eV/atom

=====

Question: Look up the final energy of the fifth one.
Answer: -3.988 eV/atom

=====

Question: Which value of final energy does entry 10 give?
Answer: -4.865 eV/atom

=====

Question: What is the formula in the seventh record?
Answer: SmCdCuS3